1.
{
  "formula": "Hf3ZrAs4",
  "functional": "PBE",
  "state": "optimized geometry",
  "lattice_angstrom": [[3.8072, 0.0000, 0.0000], [-1.9036, 3.2972, 0.0000], [0.0000, 0.0000, 12.8185]],
  "species": ["Zr", "As", "As", "Hf", "Hf", "Hf", "As", "As"],
  "frac_coords": [[0.3333, 0.6667, 0.1162], [0.0000, 0.0000, 0.5006], [0.3333, 0.6667, 0.7496], [0.3333, 0.6667, 0.3840], [0.6667, 0.3333, 0.6175], [0.6667, 0.3333, 0.8821], [0.0000, 0.0000, 0.9970], [0.6667, 0.3333, 0.2530]],
  "energy_ev_per_atom": -8.17,
  "space_group": "P3m1 (156)"
}


2.
{
  "formula": "SmTlPt",
  "functional": "PBE",
  "state": "optimized geometry",
  "lattice_angstrom": [[0.0000, 3.4606, 3.4606], [3.4606, 0.0000, 3.4606], [3.4606, 3.4606, 0.0000]],
  "species": ["Pt", "Tl", "Sm"],
  "frac_coords": [[0.2500, 0.2500, 0.2500], [0.7500, 0.7500, 0.7500], [0.0000, 0.0000, 0.0000]],
  "energy_ev_per_atom": -4.57,
  "space_group": "F-43m (216)"
}


3.
{
  "formula": "BaCd2AgGe",
  "functional": "PBE",
  "state": "optimized geometry",
  "lattice_angstrom": [[5.0981, -3.5905, 2.8046], [2.9323, 1.8501, 5.8929], [-6.2172, -0.9533, -2.6806]],
  "species": ["Cd", "Ag", "Cd", "Ba", "Ge"],
  "frac_coords": [[0.2467, 0.7467, 0.5000], [0.3907, 0.3907, 0.0000], [0.7467, 0.2467, 0.5000], [0.0039, 0.0039, 0.0000], [0.6119, 0.6119, 0.0000]],
  "energy_ev_per_atom": -2.57,
  "space_group": "I4mm (107)"
}


4.
{
  "formula": "Tb2TmIn3IrAu2",
  "functional": "PBE",
  "state": "optimized geometry",
  "lattice_angstrom": [[-1.0328, -1.6120, -3.4476], [-2.3711, -6.3391, 3.6743], [-4.9268, 5.7895, -1.2311]],
  "species": ["In", "Ir", "In", "Au", "Tb", "Tb", "Tm", "In", "Au"],
  "frac_coords": [[0.5000, 0.9998, 0.7441], [0.0000, 0.9968, 0.9968], [0.5000, 0.2546, 0.2546], [0.5000, 0.3366, 0.6654], [0.0000, 0.3972, 0.9999], [0.0000, 0.9999, 0.3972], [0.0000, 0.6057, 0.6057], [0.5000, 0.7441, 0.9998], [0.5000, 0.6654, 0.3366]],
  "energy_ev_per_atom": -4.88,
  "space_group": "Amm2 (38)"
}


5.
{
  "formula": "BaPmNO",
  "functional": "PBE",
  "state": "optimized geometry",
  "lattice_angstrom": [[6.9723, 0.0000, 0.0000], [0.0000, 8.5360, 0.0000], [0.0000, 0.0000, 6.2628]],
  "species": ["O", "O", "Ba", "N", "O", "Pm", "N", "Ba", "Pm", "Ba", "Pm", "Pm", "O", "N", "Ba", "N"],
  "frac_coords": [[0.1041, 0.0918, 0.6259], [0.6041, 0.9082, 0.6259], [0.4220, 0.6296, 0.5086], [0.4571, 0.6652, 0.0741], [0.3959, 0.0918, 0.1259], [0.4140, 0.1108, 0.4938], [0.0429, 0.6652, 0.5741], [0.5780, 0.3704, 0.0086], [0.9140, 0.8892, 0.4938], [0.9220, 0.3704, 0.5086], [0.5860, 0.8892, 0.9938], [0.0860, 0.1108, 0.9938], [0.8959, 0.9082, 0.1259], [0.9571, 0.3348, 0.0741], [0.0780, 0.6296, 0.0086], [0.5429, 0.3348, 0.5741]],
  "de_polymorph_mev_per_atom": 124.8,
  "space_group": "Pca2_1 (29)"
}


6.
{
  "formula": "SiHgIr2",
  "functional": "PBE",
  "state": "optimized geometry",
  "lattice_angstrom": [[-2.8157, 0.4522, 3.4860], [-1.7451, 4.0356, 0.9764], [-4.3728, 0.7980, -0.7260]],
  "species": ["Si", "Ir", "Ir", "Hg"],
  "frac_coords": [[0.5000, 0.5000, 0.5000], [0.7500, 0.7500, 0.7500], [0.0000, 0.0000, 0.0000], [0.2500, 0.2500, 0.2500]],
  "energy_ev_per_atom": -5.29,
  "space_group": "F-43m (216)"
}


7.
{
  "formula": "GdTcW",
  "functional": "PBE",
  "state": "optimized geometry",
  "lattice_angstrom": [[0.0000, 3.1785, 3.1785], [3.1785, 0.0000, 3.1785], [3.1785, 3.1785, 0.0000]],
  "species": ["W", "Tc", "Gd"],
  "frac_coords": [[0.7500, 0.7500, 0.7500], [0.2500, 0.2500, 0.2500], [0.0000, 0.0000, 0.0000]],
  "space_group": "F-43m (216)",
  "formation_enthalpy_0k_ev_per_atom": 1.8833
}


8.
{
  "formula": "DyTmLu2",
  "functional": "PBE",
  "state": "optimized geometry",
  "lattice_angstrom": [[5.5133, 0.0000, 0.0000], [0.0000, 3.5376, 6.1272], [0.0000, -3.5376, 6.1272]],
  "species": ["Lu", "Lu", "Dy", "Lu", "Lu", "Tm", "Dy", "Tm"],
  "frac_coords": [[0.5000, 0.1662, 0.1662], [0.0000, 0.8338, 0.8338], [0.5000, 0.6667, 0.6667], [0.0000, 0.8339, 0.3323], [0.0000, 0.3323, 0.8339], [0.5000, 0.6676, 0.1661], [0.0000, 0.3333, 0.3333], [0.5000, 0.1661, 0.6676]],
  "space_group": "Amm2 (38)",
  "formation_enthalpy_0k_ev_per_atom": 0.0005
}